A geometry-optimized La2Ga3Ni2 structure. Source: Alexandria, functional GGA-PBE.

Computed properties:
- Uncorrected energy: -68.057 eV for the cell shown
- Theoretical density: 7068 kg/m³
- Formation energy: -0.504 eV per atom
- Fermi-level density of states: 11.0 states/eV/cell

a = 4.346 Å, b = 7.011 Å, c = 9.570 Å
α = 90.00°, β = 103.12°, γ = 90.00°
Element x y z (fractional)
Ga  0.562  0.070  0.124
Ni  0.692  0.559  0.385
Ga  0.223  0.750  0.447
La  0.939  0.250  0.878
Ni  0.308  0.441  0.615
Ga  0.777  0.250  0.553
Ga  0.438  0.930  0.876
La  0.061  0.750  0.122
Ga  0.562  0.430  0.124
La  0.164  0.250  0.328
Ni  0.692  0.941  0.385
Ni  0.308  0.059  0.615
La  0.836  0.750  0.672
Ga  0.438  0.570  0.876